# 1
A plane-wave DFT calculation with GGA+U was carried out for a geometry-optimized BaCoClF4 structure.

abc: 11.8231 6.6829 7.5777
angles: 90.00 107.32 90.00
Space group C2/m (No. 12)
One atom of each set of equivalent atoms:
Ba1 0.1643 0.0000 0.3098
Co1 0.2085 0.0000 0.8057
Cl1 0.1119 0.5000 0.2287
F1 0.0621 0.0000 0.8498
F2 0.1670 0.2068 0.6255
F3 0.2240 0.5000 0.9449

Total energy   -133.7 eV for the cell shown

=====

# 2
A plane-wave DFT calculation with GGA+U was carried out for a geometry-optimized Ba2CoClF5 structure.

abc: 6.1179 6.1179 8.8053
angles: 90.00 90.00 90.00
Space group I4mm (No. 107)
One atom of each set of equivalent atoms:
Ba1 0.0000 0.5000 0.0000
Co1 0.0000 0.0000 0.2949
Cl1 0.0000 0.0000 0.5786
F1 0.0000 0.0000 0.0590
F2 0.2316 0.2316 0.3079

Total energy   -93.4 eV for the cell shown
N(E_F)   0.0 states/eV/cell

=====

no.,magnetic moment (μB per atom)
1,0.29
2,0.33